Computed, not measured: ZnRu2Au2 at its PBEsol-relaxed geometry at the SCAN level of DFT.

## Properties
- formation enthalpy at 0 K (meV per atom) = 630
- SG = I4/mmm

```
ZnRu2Au2
1.0
-1.8475 1.8475 6.2059
1.8475 -1.8475 6.2059
1.8475 1.8475 -6.2059
Zn Ru Au
1 2 2
direct
0.0000 0.0000 0.0000 Zn
0.4105 0.4105 0.0000 Ru
0.5895 0.5895 0.0000 Ru
0.2500 0.7500 0.5000 Au
0.7500 0.2500 0.5000 Au
```